Entry 1:
A plane-wave DFT calculation with PBE-GGA was carried out for crystalline Pm3TmAu2 at its relaxed geometry.

It has space group Pmc2_1 (No. 26), with a = 5.075 Å, b = 9.208 Å, c = 7.140 Å, α = 90.00°, β = 90.00° and γ = 90.00°. The inequivalent atoms are Pm at (0.000, 0.075, 0.000), Pm at (0.000, 0.337, 0.356), Pm at (0.500, 0.167, 0.660), Tm at (0.500, 0.427, 0.016), Au at (0.000, 0.350, 0.774) and Au at (0.500, 0.159, 0.241).

The calculation puts the volume at 27.80 A^3/atom. As for the magnetization: 0.00 μB/f.u.

---

Entry 2:
A plane-wave DFT calculation with PBE-GGA was carried out for crystalline FeNi2Ge at its relaxed geometry.

It has space group P4/mmm (No. 123), with a = 3.093 Å, b = 3.093 Å, c = 5.107 Å, α = 90.00°, β = 90.00° and γ = 90.00°. The inequivalent atoms are Fe at (0.000, 0.000, 0.000), Ni at (0.500, 0.500, 0.243) and Ge at (0.000, 0.000, 0.500).

The calculation puts the volume at 12.22 A^3/atom. As for the magnetization: 3.48 μB/f.u.

---

Entry 3:
A plane-wave DFT calculation with PBE-GGA was carried out for crystalline Sm5CdIn2Ir2 at its relaxed geometry.

It has space group P4/mbm (No. 127), with a = 12.025 Å, b = 12.025 Å, c = 3.792 Å, α = 90.00°, β = 90.00° and γ = 90.00°. The inequivalent atoms are Sm at (0.000, 0.500, 0.000), Sm at (0.074, 0.207, 0.000), Cd at (0.000, 0.000, 0.500), In at (0.178, 0.678, 0.500) and Ir at (0.132, 0.368, 0.500).

The calculation puts the volume at 27.41 A^3/atom. As for the magnetization: 0.00 μB/f.u.

---

Quick rundown of formation energy, same order as above: -3.44, -0.28, -4.91 eV/f.u.
Quick rundown of DOS(E_F), same order as above: 12.5, 2.8, 13.2 states/eV per cell